## CeAsPd (SCAN)

Data for CeAsPd at its PBEsol-relaxed geometry.

Lattice parameters (Å, degrees): 4.2991 4.2991 7.6621 90.00 90.00 120.00
Each line ends with the local moment (μB).
Atoms (fractional coordinates):
1 As 0.3333 0.6667 0.2500  -0.04
2 As 0.6667 0.3333 0.7500  -0.04
3 Ce 0.0000 0.0000 0.5000  0.89
4 Ce 0.0000 0.0000 0.0000  0.89
5 Pd 0.6667 0.3333 0.2500  -0.03
6 Pd 0.3333 0.6667 0.7500  -0.03

Properties
ΔE_f ... -1.276 eV/atom